Below is a relaxed AlHgSe crystal, with properties calculated at the PBE level.

Computed properties:
Space group: I4mm, No. 107
Offset from the most stable computed form (kcal/mol of atoms): 6.768

```
data_AlHgSe
_cell_length_a 6.6770
_cell_length_b 6.6770
_cell_length_c 6.6770
_cell_angle_alpha 150.21
_cell_angle_beta 150.21
_cell_angle_gamma 42.63
_space_group_name_H-M_alt 'P 1'
_space_group_IT_number 1
loop_
_space_group_symop_operation_xyz
'x,y,z'
loop_
_atom_site_label
_atom_site_type_symbol
_atom_site_fract_x
_atom_site_fract_y
_atom_site_fract_z
Hg1 Hg 0.3459 0.3459 0.0000
Se1 Se 0.6151 0.6151 0.0000
Al1 Al 0.0390 0.0390 0.0000
```